(1)
## Pm7Er2Sc2 (PBE)

Data for an optimized crystal structure of Pm7Er2Sc2.

Summary:
- distance to the lowest polymorph of the same formula (meV/atom) = 0.0
- symmetry = C2/m, No. 12
- volume (Å³/f.u.) = 355
- total energy (eV/atom) = -4.85
- formation energy from the elements (eV/atom) = 0.1491
- crystal system = monoclinic
- size of the total moment (μB per cell) = 0.00

abc: 7.927 7.927 6.079
angles: 104.60 104.60 92.95
Sites, in units of the cell vectors:
Pm  0.000  0.000  0.000
Pm  0.059  0.581  0.809
Pm  0.419  0.941  0.191
Pm  0.421  0.421  0.204
Pm  0.579  0.579  0.796
Pm  0.581  0.059  0.809
Pm  0.941  0.419  0.191
Er  0.213  0.213  0.581
Er  0.787  0.787  0.419
Sc  0.223  0.777  0.500
Sc  0.777  0.223  0.500



(2)
## CeSmEr (PBE)

Data for an optimized crystal structure of CeSmEr.

Summary:
- distance to the lowest polymorph of the same formula (meV/atom) = 32.3
- symmetry = I4mm, No. 107
- volume (Å³/f.u.) = 93
- total energy (eV/atom) = -5.00
- formation energy from the elements (eV/atom) = 0.0760
- crystal system = tetragonal
- size of the total moment (μB per cell) = 0.39

abc: 7.866 7.866 7.866
angles: 154.03 154.03 37.06
Sites, in units of the cell vectors:
Ce  0.000  0.000  0.000
Sm  0.664  0.664  0.000
Er  0.340  0.340  0.000